# 1
LaGdMgZn (PBE, relaxed); V = 27.066 A^3/atom; energy relative to the elements = -0.185 eV/atom; total DFT energy (no corrections) = -5.65 eV per atom
1.0
0.0000 3.7829 3.7829
3.7829 0.0000 3.7829
3.7829 3.7829 0.0000
La Gd Mg Zn
1 1 1 1
direct
0.0000 0.0000 0.0000
0.5000 0.5000 0.5000
0.7500 0.7500 0.7500
0.2500 0.2500 0.2500

---

# 2
LaAlCl2 (PBE, relaxed); V = 23.804 A^3/atom; total DFT energy (no corrections) = -4.09 eV per atom; excess energy over the best structure of this formula in the dataset = 0.66 eV per formula unit
1.0
4.6401 0.0000 0.0000
0.0000 4.6401 0.0000
0.0000 0.0000 4.4223
La Al Cl
1 1 2
direct
0.0000 0.0000 0.0000
0.5000 0.5000 0.0000
0.0000 0.5000 0.5000
0.5000 0.0000 0.5000

---

# 3
Nd8Co2Ru (PBE, relaxed); V = 27.452 A^3/atom; energy relative to the elements = -0.034 eV/atom; total DFT energy (no corrections) = -5.64 eV per atom; excess energy over the best structure of this formula in the dataset = 0.00 eV per formula unit
1.0
8.8466 -2.5711 0.0000
8.8466 2.5711 0.0000
-1.1471 0.0000 6.6382
Nd Co Ru
8 2 1
direct
0.0457 0.0457 0.2886
0.1989 0.1989 0.8457
0.3291 0.3291 0.5402
0.4137 0.4137 0.0795
0.5863 0.5863 0.9205
0.6709 0.6709 0.4598
0.8011 0.8011 0.1543
0.9543 0.9543 0.7114
0.2131 0.2131 0.2380
0.7869 0.7869 0.7620
0.5000 0.5000 0.5000

---

Among the records above, which one has the highest V? Nd8Co2Ru